VASP calculation (PBE) on a relaxed Li3Ca2Cu12Ir crystal.

Cell and atoms, written as CIF:
```
data_Li3Ca2Cu12Ir
_chemical_formula_sum 'Li9 Ca6 Cu36 Ir3'
_cell_length_a 5.0795
_cell_length_b 5.0795
_cell_length_c 37.3124
_cell_angle_alpha 90.00
_cell_angle_beta 90.00
_cell_angle_gamma 120.00
_symmetry_space_group_name_H-M 'R -3 m'
_symmetry_Int_Tables_number 166
_symmetry_space_group_name_Hall '-R 3 2"'
loop_
_atom_site_label
_atom_site_type_symbol
_atom_site_fract_x
_atom_site_fract_y
_atom_site_fract_z
_atom_site_occupancy
Li1 Li 0.0000 0.5000 0.0000 1
Ca1 Ca 0.0000 0.0000 0.1474 1
Cu1 Cu 0.0040 0.5020 0.1085 1
Cu2 Cu 0.0075 0.5037 0.6115 1
Ir1 Ir 0.0000 0.0000 0.5000 1
```

- ΔE_f (meV/atom) = 78
- V (Å³ per atom) = 15.439
- N(E_F) (states/eV/cell) = 15.26
- crystal system = trigonal

VASP calculation (PBE) on a relaxed CaLuCuIr crystal.

Cell and atoms, written as CIF:
```
data_CaLuCuIr
_chemical_formula_sum 'Ca4 Lu4 Cu4 Ir4'
_cell_length_a 6.8090
_cell_length_b 6.8090
_cell_length_c 6.8090
_cell_angle_alpha 90.00
_cell_angle_beta 90.00
_cell_angle_gamma 90.00
_symmetry_space_group_name_H-M 'F -4 3 m'
_symmetry_Int_Tables_number 216
_symmetry_space_group_name_Hall 'F -4 2 3'
loop_
_atom_site_label
_atom_site_type_symbol
_atom_site_fract_x
_atom_site_fract_y
_atom_site_fract_z
_atom_site_occupancy
Ca1 Ca 0.0000 0.0000 0.0000 1
Lu1 Lu 0.0000 0.0000 0.5000 1
Cu1 Cu 0.2500 0.2500 0.7500 1
Ir1 Ir 0.2500 0.2500 0.2500 1
```

- ΔE_f (meV/atom) = -411
- V (Å³ per atom) = 19.730
- N(E_F) (states/eV/cell) = 14.82
- crystal system = cubic

VASP calculation (PBE) on a relaxed CaNdCuIr crystal.

Cell and atoms, written as CIF:
```
data_CaNdCuIr
_chemical_formula_sum 'Ca4 Nd4 Cu4 Ir4'
_cell_length_a 7.0318
_cell_length_b 7.0318
_cell_length_c 7.0318
_cell_angle_alpha 90.00
_cell_angle_beta 90.00
_cell_angle_gamma 90.00
_symmetry_space_group_name_H-M 'F -4 3 m'
_symmetry_Int_Tables_number 216
_symmetry_space_group_name_Hall 'F -4 2 3'
loop_
_atom_site_label
_atom_site_type_symbol
_atom_site_fract_x
_atom_site_fract_y
_atom_site_fract_z
_atom_site_occupancy
Ca1 Ca 0.0000 0.0000 0.0000 1
Nd1 Nd 0.0000 0.0000 0.5000 1
Cu1 Cu 0.2500 0.2500 0.2500 1
Ir1 Ir 0.2500 0.2500 0.7500 1
```

- E above lowest polymorph (eV per atom) = 0.079
- ΔE_f (meV/atom) = -317
- V (Å³ per atom) = 21.731
- N(E_F) (states/eV/cell) = 11.10
- crystal system = cubic

- N(E_F) of number 2 (CaLuCuIr)?
  14.82 states/eV/cell

- Look up the V of the first one.
  15.439 Å³ per atom

- N(E_F) of number 3 (CaNdCuIr)?
  11.10 states/eV/cell